1.
Computed, not measured: an optimized crystal structure of Sr2SmEu at the PBE level of DFT.

a = 6.3053 Å, b = 6.3053 Å, c = 6.3053 Å
α = 60.00°, β = 60.00°, γ = 60.00°
With the nearest neighbours (Å) after each atom.
Fractional coordinates of all 4 atoms:
Sr (0.2500, 0.2500, 0.2500)  4 Sm 3.86, 4 Eu 3.86
Sr (0.7500, 0.7500, 0.7500)  4 Sm 3.86, 4 Eu 3.86
Sm (0.0000, 0.0000, 0.0000)  8 Sr 3.86
Eu (0.5000, 0.5000, 0.5000)  8 Sr 3.86

Summary:
The calculation puts the magnetic moment at 7.3 μB per cell. The calculation puts the volume at 44.314 Å³ per atom. The offset from the most stable computed form comes out at 31.5 meV per atom. The calculation puts the energy relative to the elements at 0.171 eV per atom. The energy comes out at -4.419 eV/atom.


2.
Computed, not measured: an optimized crystal structure of LiAcMnN2 at the PBE level of DFT.

a = 6.1197 Å, b = 6.1197 Å, c = 5.0007 Å
α = 90.00°, β = 90.00°, γ = 135.12°
With the nearest neighbours (Å) after each atom.
Fractional coordinates of all 10 atoms:
Li (0.0000, 0.0000, 0.0000)  2 N 1.98
Li (0.5000, 0.5000, 0.0000)  2 N 1.98
Ac (0.2500, 0.7500, 0.7403)  6 N 2.68-2.83
Ac (0.7500, 0.2500, 0.2597)  6 N 2.68-2.83
Mn (0.2500, 0.2500, 0.5000)  4 N 1.96
Mn (0.7500, 0.7500, 0.5000)  4 N 1.96
N (0.1100, 0.8900, 0.3070)  2 Mn 1.96, 1 Li 1.98
N (0.3900, 0.6100, 0.3070)  2 Mn 1.96, 1 Li 1.98
N (0.6100, 0.3900, 0.6930)  2 Mn 1.96, 1 Li 1.98
N (0.8900, 0.1100, 0.6930)  2 Mn 1.96, 1 Li 1.98

Summary:
The calculation puts the magnetic moment at 2.6 μB per cell. The calculation puts the formation energy (no corrections) at -512 meV/atom. The calculation puts the volume at 13.214 Å³ per atom. The energy comes out at -6.881 eV/atom.


3.
Computed, not measured: an optimized crystal structure of K4Pa3CuTe8 at the PBE level of DFT.

a = 8.8773 Å, b = 8.8773 Å, c = 9.7667 Å
α = 117.11°, β = 117.11°, γ = 59.84°
With the nearest neighbours (Å) after each atom.
Fractional coordinates of all 16 atoms:
K (0.0000, 0.0000, 0.0000)  6 Te 3.60-3.62
K (0.0000, 0.5000, 0.0000)  6 Te 3.48-3.53
K (0.5000, 0.0000, 0.0000)  6 Te 3.48-3.53
K (0.5000, 0.5000, 0.0000)  6 Te 3.49-3.53
Pa (0.0000, 0.0000, 0.5000)  6 Te 3.10-3.13
Pa (0.0000, 0.5000, 0.5000)  6 Te 3.10-3.13
Pa (0.5000, 0.0000, 0.5000)  6 Te 3.10-3.13
Cu (0.5000, 0.5000, 0.5000)  6 Te 2.99-3.02
Te (0.2385, 0.2385, 0.7160)  3 Pa 3.13, 3 K 3.48-3.49
Te (0.2448, 0.7285, 0.7022)  1 Cu 2.99, 2 Pa 3.10
Te (0.2692, 0.2692, 0.2960)  1 Cu 3.02, 2 Pa 3.10
Te (0.2715, 0.7552, 0.2978)  1 Cu 2.99, 2 Pa 3.10
Te (0.7285, 0.2448, 0.7022)  1 Cu 2.99, 2 Pa 3.10
Te (0.7308, 0.7308, 0.7040)  1 Cu 3.02, 2 Pa 3.10
Te (0.7552, 0.2715, 0.2978)  1 Cu 2.99, 2 Pa 3.10
Te (0.7615, 0.7615, 0.2840)  3 Pa 3.13, 3 K 3.48-3.49

Summary:
The calculation puts the magnetic moment at 4.0 μB per cell. The calculation puts the formation energy (no corrections) at -826 meV/atom. The calculation puts the volume at 35.379 Å³ per atom. The energy comes out at -4.708 eV/atom.


4.
Computed, not measured: an optimized crystal structure of TcNi2Se at the PBE level of DFT.

a = 8.1901 Å, b = 8.1901 Å, c = 8.1901 Å
α = 19.59°, β = 19.59°, γ = 19.59°
With the nearest neighbours (Å) after each atom.
Fractional coordinates of all 4 atoms:
Tc (0.0000, 0.0000, 0.0000)  6 Ni 2.60, 6 Tc 2.79
Ni (0.2484, 0.2484, 0.2484)  3 Se 2.54, 3 Tc 2.60, 6 Ni 2.79
Ni (0.7516, 0.7516, 0.7516)  3 Se 2.54, 3 Tc 2.60, 6 Ni 2.79
Se (0.5000, 0.5000, 0.5000)  6 Ni 2.54, 6 Se 2.79

Summary:
The calculation puts the magnetic moment at 0.0 μB per cell. The calculation puts the formation energy (no corrections) at 236 meV/atom. The calculation puts the volume at 13.501 Å³ per atom. The energy comes out at -6.118 eV/atom.


5.
Computed, not measured: an optimized crystal structure of Ho2ErTmBi5 at the PBE level of DFT.

a = 5.3601 Å, b = 5.3601 Å, c = 11.8047 Å
α = 90.00°, β = 90.00°, γ = 90.00°
With the nearest neighbours (Å) after each atom.
Fractional coordinates of all 9 atoms:
Ho (0.0000, 0.0000, 0.2323)  1 Bi 3.16
Ho (0.0000, 0.0000, 0.7677)  1 Bi 3.16
Er (0.5000, 0.5000, 0.5000)  2 Bi 2.90
Tm (0.5000, 0.5000, 0.0000)  6 Bi 2.68-3.00
Bi (0.0000, 0.0000, 0.5000)  2 Ho 3.16
Bi (0.0000, 0.5000, 0.0000)  2 Tm 2.68
Bi (0.5000, 0.0000, 0.0000)  2 Tm 2.68
Bi (0.5000, 0.5000, 0.2540)  1 Er 2.90, 1 Tm 3.00
Bi (0.5000, 0.5000, 0.7460)  1 Er 2.90, 1 Tm 3.00

Summary:
The calculation puts the magnetic moment at 0.0 μB per cell. The calculation puts the volume at 37.684 Å³ per atom. The calculation puts the energy relative to the elements at 0.042 eV per atom. The energy comes out at -4.135 eV/atom.


6.
Computed, not measured: an optimized crystal structure of TaNbRu4 at the PBE level of DFT.

a = 5.2747 Å, b = 5.2747 Å, c = 6.2866 Å
α = 107.36°, β = 107.36°, γ = 34.64°
With the nearest neighbours (Å) after each atom.
Fractional coordinates of all 6 atoms:
Ta (0.0000, 0.0000, 0.0000)  8 Ru 2.66
Nb (0.0000, 0.0000, 0.5000)  8 Ru 2.67-2.68
Ru (0.3459, 0.3459, 0.1708)  2 Ta 2.66, 2 Nb 2.67, 5 Ru 2.87-2.95
Ru (0.3459, 0.3459, 0.6758)  2 Ta 2.66, 2 Nb 2.68, 5 Ru 2.88-2.95
Ru (0.6541, 0.6541, 0.3242)  2 Ta 2.66, 2 Nb 2.68, 5 Ru 2.88-2.95
Ru (0.6541, 0.6541, 0.8292)  2 Ta 2.66, 2 Nb 2.67, 5 Ru 2.87-2.95

Summary:
The calculation puts the magnetic moment at 0.0 μB per cell. The calculation puts the volume at 15.739 Å³ per atom. The calculation puts the energy relative to the elements at -0.010 eV per atom. The energy comes out at -9.848 eV/atom.


7.
Computed, not measured: an optimized crystal structure of LiTbGa6 at the PBE level of DFT.

a = 4.3255 Å, b = 6.2728 Å, c = 6.2728 Å
α = 62.15°, β = 90.00°, γ = 90.00°
With the nearest neighbours (Å) after each atom.
Fractional coordinates of all 8 atoms:
Li (0.0000, 0.0000, 0.0000)  8 Ga 2.74-3.01
Tb (0.5000, 0.3020, 0.3020)  12 Ga 3.00-3.25
Ga (0.0000, 0.4960, 0.4960)  6 Ga 2.72-2.79, 2 Tb 3.00
Ga (0.0000, 0.5105, 0.9228)  6 Ga 2.67-2.81
Ga (0.0000, 0.9228, 0.5105)  6 Ga 2.67-2.81
Ga (0.5000, 0.2967, 0.8069)  2 Li 2.74, 5 Ga 2.79-2.90
Ga (0.5000, 0.8069, 0.2967)  2 Li 2.74, 5 Ga 2.79-2.90
Ga (0.5000, 0.8255, 0.8255)  6 Ga 2.80-2.90, 2 Li 2.86

Summary:
The calculation puts the magnetic moment at 0.0 μB per cell. The calculation puts the volume at 18.810 Å³ per atom. The offset from the most stable computed form comes out at 4.0 meV per atom. The calculation puts the energy relative to the elements at -0.329 eV per atom. The energy comes out at -3.418 eV/atom.


8.
Computed, not measured: an optimized crystal structure of CrTcSb2 at the PBE level of DFT.

a = 3.2477 Å, b = 3.2477 Å, c = 6.5430 Å
α = 90.00°, β = 90.00°, γ = 90.00°
With the nearest neighbours (Å) after each atom.
Fractional coordinates of all 4 atoms:
Cr (0.0000, 0.0000, 0.0000)  8 Sb 2.82
Tc (0.0000, 0.0000, 0.5000)  8 Sb 2.82
Sb (0.5000, 0.5000, 0.2494)  4 Cr 2.82, 4 Tc 2.82
Sb (0.5000, 0.5000, 0.7506)  4 Cr 2.82, 4 Tc 2.82

Summary:
The calculation puts the magnetic moment at 1.4 μB per cell. The calculation puts the formation energy (no corrections) at 285 meV/atom. The calculation puts the volume at 17.253 Å³ per atom. The offset from the most stable computed form comes out at 157.9 meV per atom. The energy comes out at -6.774 eV/atom.


9.
Computed, not measured: an optimized crystal structure of AlZn2Pb at the PBE level of DFT.

a = 3.0667 Å, b = 3.9321 Å, c = 6.8806 Å
α = 90.00°, β = 97.72°, γ = 90.00°
With the nearest neighbours (Å) after each atom.
Fractional coordinates of all 4 atoms:
Al (0.0000, 0.0000, 0.0000)  8 Zn 2.81-2.84, 2 Al 3.07
Zn (0.4520, 0.5000, 0.8056)  1 Zn 2.65, 4 Al 2.81-2.84
Zn (0.5480, 0.5000, 0.1944)  1 Zn 2.65, 4 Al 2.81-2.84
Pb (0.0000, 0.0000, 0.5000)  2 Pb 3.07, 4 Zn 3.07

Summary:
The calculation puts the magnetic moment at 0.0 μB per cell. The calculation puts the volume at 20.554 Å³ per atom. The offset from the most stable computed form comes out at 15.8 meV per atom. The calculation puts the energy relative to the elements at 0.157 eV per atom. The energy comes out at -2.343 eV/atom.


10.
Computed, not measured: an optimized crystal structure of PuTcOsW at the PBE level of DFT.

a = 4.5884 Å, b = 4.5884 Å, c = 4.5884 Å
α = 60.00°, β = 60.00°, γ = 60.00°
With the nearest neighbours (Å) after each atom.
Fractional coordinates of all 4 atoms:
Pu (0.0000, 0.0000, 0.0000)  4 Tc 2.81, 4 Os 2.81
Tc (0.2500, 0.2500, 0.2500)  4 W 2.81, 4 Pu 2.81
Os (0.7500, 0.7500, 0.7500)  4 W 2.81, 4 Pu 2.81
W (0.5000, 0.5000, 0.5000)  4 Tc 2.81, 4 Os 2.81

Summary:
The calculation puts the magnetic moment at 4.6 μB per cell. The calculation puts the volume at 17.077 Å³ per atom. The calculation puts the energy relative to the elements at 0.199 eV per atom. The energy comes out at -12.021 eV/atom.


11.
Computed, not measured: an optimized crystal structure of MnZnCoRu at the PBE level of DFT.

a = 4.1362 Å, b = 4.1362 Å, c = 4.1362 Å
α = 60.00°, β = 60.00°, γ = 60.00°
With the nearest neighbours (Å) after each atom.
Fractional coordinates of all 4 atoms:
Mn (0.0000, 0.0000, 0.0000)  4 Co 2.53, 4 Ru 2.53
Zn (0.5000, 0.5000, 0.5000)  4 Co 2.53, 4 Ru 2.53
Co (0.7500, 0.7500, 0.7500)  4 Zn 2.53, 4 Mn 2.53
Ru (0.2500, 0.2500, 0.2500)  4 Zn 2.53, 4 Mn 2.53

Summary:
The calculation puts the magnetic moment at 2.2 μB per cell. The calculation puts the volume at 12.509 Å³ per atom. The calculation puts the energy relative to the elements at 0.027 eV per atom. The energy comes out at -6.679 eV/atom.


12.
Computed, not measured: an optimized crystal structure of Na5Tl2Cd12 at the PBE level of DFT.

a = 8.9697 Å, b = 8.9697 Å, c = 7.7103 Å
α = 90.57°, β = 90.57°, γ = 52.46°
With the nearest neighbours (Å) after each atom.
Fractional coordinates of all 19 atoms:
Na (0.0000, 0.0000, 0.0000)  10 Cd 3.30-3.66
Na (0.2445, 0.2445, 0.9246)  10 Cd 3.17-3.33
Na (0.3097, 0.3097, 0.4812)  8 Cd 3.18-3.46, 2 Tl 3.50
Na (0.6903, 0.6903, 0.5188)  8 Cd 3.18-3.46, 2 Tl 3.50
Na (0.7555, 0.7555, 0.0754)  10 Cd 3.17-3.33
Tl (0.2866, 0.7134, 0.5000)  8 Cd 3.09-3.32, 1 Tl 3.38
Tl (0.7134, 0.2866, 0.5000)  8 Cd 3.09-3.32, 1 Tl 3.38
Cd (0.0291, 0.6586, 0.7573)  4 Cd 2.94-3.23, 2 Na 3.20-3.24
Cd (0.1210, 0.1210, 0.6014)  4 Cd 3.06-3.19, 2 Tl 3.09, 2 Na 3.17-3.18
Cd (0.1825, 0.5776, 0.1519)  5 Cd 3.06-3.23, 4 Na 3.18-3.30, 1 Tl 3.29
Cd (0.3414, 0.9709, 0.2427)  4 Cd 2.94-3.23, 2 Na 3.20-3.24
Cd (0.4224, 0.8175, 0.8481)  5 Cd 3.06-3.23, 4 Na 3.18-3.30, 1 Tl 3.29
Cd (0.4462, 0.4462, 0.8315)  7 Cd 3.04-3.21, 2 Tl 3.19, 1 Na 3.33
Cd (0.5538, 0.5538, 0.1685)  7 Cd 3.04-3.21, 2 Tl 3.19, 1 Na 3.33
Cd (0.5776, 0.1825, 0.1519)  5 Cd 3.06-3.23, 4 Na 3.18-3.30, 1 Tl 3.29
Cd (0.6586, 0.0291, 0.7573)  4 Cd 2.94-3.23, 2 Na 3.20-3.24
Cd (0.8175, 0.4224, 0.8481)  5 Cd 3.06-3.23, 4 Na 3.18-3.30, 1 Tl 3.29
Cd (0.8790, 0.8790, 0.3986)  4 Cd 3.06-3.19, 2 Tl 3.09, 2 Na 3.17-3.18
Cd (0.9709, 0.3414, 0.2427)  4 Cd 2.94-3.23, 2 Na 3.20-3.24

Summary:
The calculation puts the magnetic moment at 0.0 μB per cell. The calculation puts the volume at 25.888 Å³ per atom. The calculation puts the energy relative to the elements at -0.040 eV per atom. The energy comes out at -1.215 eV/atom.